A plane-wave DFT calculation with GGA-PBE was carried out for Y3ErTm after structural relaxation.

Lattice parameters (Å, degrees): 5.6064 6.2727 9.5810 109.13 89.99 90.00
Positions (direct):
Tm  0.7500  0.1314  0.5995
Y  0.2499  0.4637  0.5996
Er  0.2500  0.2693  0.2008
Y  0.7502  0.9373  0.2019
Y  0.7501  0.5363  0.4004
Y  0.2499  0.6679  0.0008
Y  0.7501  0.3321  0.9992
Y  0.2498  0.0627  0.7981
Er  0.7500  0.7307  0.7992
Tm  0.2500  0.8686  0.4005

Summary:
Energy above the most stable polymorph in this dataset = 0.0 meV per atom
ΔH_f (0 K) = 0.00 eV per atom
Calculated total energy = -56.9 eV for the cell shown

=====

A plane-wave DFT calculation with GGA-PBE was carried out for LaZn3Fe after structural relaxation.

Lattice parameters (Å, degrees): 5.5650 5.5650 5.5650 90.00 90.00 90.00
Positions (direct):
Zn  0.0000  0.0000  0.5000
Fe  0.5000  0.5000  0.5000
Zn  0.5000  0.0000  0.0000
Zn  0.0000  0.5000  0.0000
La  0.0000  0.0000  0.0000

Summary:
Energy above the most stable polymorph in this dataset = 1858.2 meV per atom
ΔH_f (0 K) = 1.80 eV per atom
Calculated total energy = -8.2 eV for the cell shown

=====

A plane-wave DFT calculation with GGA-PBE was carried out for KRhIO2 after structural relaxation.

Lattice parameters (Å, degrees): 4.2122 4.2122 5.5566 90.00 90.00 90.00
Positions (direct):
O  0.5000  0.0000  0.0000
Rh  0.0000  0.0000  0.0000
I  0.0000  0.0000  0.5000
K  0.5000  0.5000  0.5000
O  0.0000  0.5000  0.0000

Summary:
Energy above the most stable polymorph in this dataset = 0.0 meV per atom
Formation energy without anion corrections = -361 meV/atom
Calculated total energy = -21.7 eV for the cell shown

=====

A plane-wave DFT calculation with GGA-PBE was carried out for RbTl14Cd after structural relaxation.

Lattice parameters (Å, degrees): 6.9722 6.9722 11.0348 90.00 90.00 109.88
Positions (direct):
Tl  0.3668  0.6332  0.2699
Rb  0.1000  0.9000  0.5000
Tl  0.6176  0.9674  0.5000
Tl  0.1408  0.8592  0.0000
Tl  0.8502  0.5886  0.2436
Tl  0.4114  0.1498  0.2436
Tl  0.8502  0.5886  0.7564
Cd  0.5625  0.4375  0.5000
Tl  0.8962  0.1038  0.7671
Tl  0.0326  0.3824  0.5000
Tl  0.4114  0.1498  0.7564
Tl  0.6241  0.8102  0.0000
Tl  0.3668  0.6332  0.7301
Tl  0.6831  0.3169  0.0000
Tl  0.8962  0.1038  0.2329
Tl  0.1898  0.3759  0.0000

Summary:
ΔH_f (0 K) = 0.01 eV per atom
Calculated total energy = -34.8 eV for the cell shown

=====

A plane-wave DFT calculation with GGA-PBE was carried out for HfUV after structural relaxation.

Lattice parameters (Å, degrees): 2.8810 8.2054 9.4714 90.00 90.00 90.00
Positions (direct):
Hf  0.0000  0.6125  0.3751
U  0.5000  0.7791  0.6251
V  0.5000  0.9457  0.3749
Hf  0.0000  0.6123  0.8752
U  0.5000  0.2791  0.3749
Hf  0.0000  0.1125  0.6249
U  0.5000  0.2791  0.8749
V  0.5000  0.9455  0.8749
V  0.5000  0.4457  0.6251
V  0.5000  0.4455  0.1251
Hf  0.0000  0.1123  0.1248
U  0.5000  0.7791  0.1251

Summary:
Energy above the most stable polymorph in this dataset = 0.0 meV per atom
ΔH_f (0 K) = 0.27 eV per atom
Calculated total energy = -118.1 eV for the cell shown

=====

A plane-wave DFT calculation with GGA-PBE was carried out for AlNiAsPd2 after structural relaxation.

Lattice parameters (Å, degrees): 4.5588 4.6995 4.5588 90.00 90.00 90.00
Positions (direct):
Ni  0.5000  0.5000  0.5000
Pd  0.0000  0.0000  0.5000
As  0.0000  0.5000  0.0000
Pd  0.5000  0.0000  0.0000
Al  0.0000  0.0000  0.0000

Summary:
ΔH_f (0 K) = 0.65 eV per atom
Calculated total energy = -21.3 eV for the cell shown